[1]
Compound: NaDySc2Se4
Source: Alexandria
Functional: PBE
Structure: optimized geometry

Properties
As for the uncorrected formation energy: -1.638 eV/atom. For the uncorrected energy, the calculation gives -5.70 eV/atom.

Geometry as POSCAR:
```
NaDySc2Se4
1.0
6.889 0.000 0.000
0.000 3.947 0.000
-2.244 0.000 6.602
Na Dy Sc Se
1 1 2 4
direct
0.000 0.000 0.000
0.500 0.500 0.000
0.000 0.500 0.500
0.500 0.000 0.500
0.245 0.000 0.736
0.258 0.500 0.267
0.742 0.500 0.733
0.755 0.000 0.264
```

[2]
Compound: NaDy2ScSe4
Source: Alexandria
Functional: PBE
Structure: optimized geometry

Properties
As for the uncorrected formation energy: -1.670 eV/atom. For the uncorrected energy, the calculation gives -5.52 eV/atom.

Geometry as POSCAR:
```
NaDy2ScSe4
1.0
6.965 0.000 0.000
0.000 4.026 0.000
-2.313 0.000 6.668
Na Dy Sc Se
1 2 1 4
direct
0.000 0.000 0.000
0.500 0.000 0.500
0.500 0.500 0.000
0.000 0.500 0.500
0.240 0.000 0.742
0.247 0.500 0.256
0.753 0.500 0.744
0.760 0.000 0.258
```

[3]
Compound: Na2DyScSe4
Source: Alexandria
Functional: PBE
Structure: optimized geometry

Properties
As for the uncorrected formation energy: -1.638 eV/atom. For the uncorrected energy, the calculation gives -5.08 eV/atom.

Geometry as POSCAR:
```
Na2DyScSe4
1.0
7.008 0.000 0.000
0.000 4.047 0.000
-2.335 0.000 6.986
Na Dy Sc Se
2 1 1 4
direct
0.000 0.000 0.000
0.500 0.500 0.000
0.000 0.500 0.500
0.500 0.000 0.500
0.253 0.000 0.727
0.270 0.500 0.279
0.730 0.500 0.721
0.747 0.000 0.273
```

[4]
Compound: NaDy4ScSe8
Source: Alexandria
Functional: PBE
Structure: optimized geometry

Properties
As for the uncorrected formation energy: -1.731 eV/atom. For the uncorrected energy, the calculation gives -5.58 eV/atom.

Geometry as POSCAR:
```
NaDy4ScSe8
1.0
4.219 2.436 6.742
-4.219 2.436 6.742
0.000 -4.871 6.742
Na Dy Sc Se
1 4 1 8
direct
0.000 0.000 0.000
0.107 0.626 0.626
0.244 0.244 0.244
0.626 0.107 0.626
0.626 0.626 0.107
0.628 0.628 0.628
0.379 0.379 0.379
0.386 0.386 0.843
0.386 0.843 0.386
0.404 0.853 0.853
0.843 0.386 0.386
0.853 0.404 0.853
0.853 0.853 0.404
0.863 0.863 0.863
```

[5]
Compound: NaDy3Sc2Se6
Source: Alexandria
Functional: PBE
Structure: optimized geometry

Properties
As for the uncorrected formation energy: -1.671 eV/atom. For the uncorrected energy, the calculation gives -5.73 eV/atom.

Geometry as POSCAR:
```
NaDy3Sc2Se6
1.0
8.744 -2.007 0.000
8.744 2.007 0.000
-1.806 0.000 7.858
Na Dy Sc Se
1 3 2 6
direct
0.000 0.000 0.000
0.000 0.000 0.500
0.337 0.337 0.174
0.663 0.663 0.826
0.331 0.331 0.653
0.669 0.669 0.347
0.169 0.169 0.094
0.169 0.169 0.578
0.494 0.494 0.748
0.506 0.506 0.252
0.831 0.831 0.422
0.831 0.831 0.906
```

[6]
Compound: Na2DySc3Se6
Source: Alexandria
Functional: PBE
Structure: optimized geometry

Properties
As for the uncorrected formation energy: -1.622 eV/atom. For the uncorrected energy, the calculation gives -5.55 eV/atom.

Geometry as POSCAR:
```
Na2DySc3Se6
1.0
3.427 -5.931 0.000
3.427 5.931 0.000
-2.283 0.000 6.667
Na Dy Sc Se
2 1 3 6
direct
0.166 0.834 0.000
0.834 0.166 0.000
0.500 0.500 0.000
0.000 0.000 0.500
0.332 0.668 0.500
0.668 0.332 0.500
0.081 0.411 0.733
0.260 0.260 0.268
0.411 0.081 0.733
0.589 0.919 0.267
0.740 0.740 0.732
0.919 0.589 0.267
```

[7]
Compound: Na3DySc2Se6
Source: Alexandria
Functional: PBE
Structure: optimized geometry

Properties
As for the uncorrected formation energy: -1.621 eV/atom. For the uncorrected energy, the calculation gives -5.13 eV/atom.

Geometry as POSCAR:
```
Na3DySc2Se6
1.0
3.473 -6.018 0.000
3.473 6.018 0.000
-2.321 0.000 6.976
Na Dy Sc Se
3 1 2 6
direct
0.000 0.000 0.000
0.336 0.664 0.000
0.664 0.336 0.000
0.500 0.500 0.500
0.167 0.833 0.500
0.833 0.167 0.500
0.080 0.426 0.278
0.229 0.229 0.722
0.426 0.080 0.278
0.574 0.920 0.722
0.771 0.771 0.278
0.920 0.574 0.722
```

[8]
Compound: Na4DySc3Te8
Source: Alexandria
Functional: PBE
Structure: optimized geometry

Properties
As for the uncorrected formation energy: -1.215 eV/atom. For the uncorrected energy, the calculation gives -4.59 eV/atom.

Geometry as POSCAR:
```
Na4DySc3Te8
1.0
4.289 2.476 7.539
-4.289 2.476 7.539
0.000 -4.953 7.539
Na Dy Sc Te
4 1 3 8
direct
0.000 0.000 0.000
0.000 0.500 0.500
0.500 0.000 0.500
0.500 0.500 0.000
0.500 0.500 0.500
0.000 0.000 0.500
0.000 0.500 0.000
0.500 0.000 0.000
0.232 0.746 0.746
0.239 0.239 0.239
0.254 0.254 0.768
0.254 0.768 0.254
0.746 0.232 0.746
0.746 0.746 0.232
0.761 0.761 0.761
0.768 0.254 0.254
```

[9]
Compound: NaDy3Sc2Te6
Source: Alexandria
Functional: PBE
Structure: optimized geometry

Properties
As for the uncorrected formation energy: -1.225 eV/atom. For the uncorrected energy, the calculation gives -5.11 eV/atom.

Geometry as POSCAR:
```
NaDy3Sc2Te6
1.0
9.388 -2.150 0.000
9.388 2.150 0.000
-1.983 0.000 8.419
Na Dy Sc Te
1 3 2 6
direct
0.000 0.000 0.000
0.000 0.000 0.500
0.339 0.339 0.175
0.661 0.661 0.825
0.332 0.332 0.653
0.668 0.668 0.347
0.169 0.169 0.578
0.170 0.170 0.094
0.494 0.494 0.748
0.506 0.506 0.252
0.830 0.830 0.906
0.831 0.831 0.422
```

[10]
Compound: Na3DySc2Te6
Source: Alexandria
Functional: PBE
Structure: optimized geometry

Properties
As for the uncorrected formation energy: -1.227 eV/atom. For the uncorrected energy, the calculation gives -4.57 eV/atom.

Geometry as POSCAR:
```
Na3DySc2Te6
1.0
3.727 -6.457 0.000
3.727 6.457 0.000
-2.491 0.000 7.539
Na Dy Sc Te
3 1 2 6
direct
0.000 0.000 0.000
0.337 0.663 0.000
0.663 0.337 0.000
0.500 0.500 0.500
0.167 0.833 0.500
0.833 0.167 0.500
0.080 0.425 0.276
0.229 0.229 0.723
0.425 0.080 0.276
0.575 0.920 0.724
0.771 0.771 0.277
0.920 0.575 0.724
```

[11]
Compound: NaDy2ScTe4
Source: Alexandria
Functional: PBE
Structure: optimized geometry

Properties
As for the uncorrected formation energy: -1.239 eV/atom. For the uncorrected energy, the calculation gives -4.92 eV/atom.

Geometry as POSCAR:
```
NaDy2ScTe4
1.0
7.489 0.000 0.000
0.000 4.306 0.000
-2.461 0.000 7.146
Na Dy Sc Te
1 2 1 4
direct
0.000 0.000 0.000
0.500 0.000 0.500
0.500 0.500 0.000
0.000 0.500 0.500
0.240 0.000 0.742
0.247 0.500 0.255
0.753 0.500 0.745
0.760 0.000 0.258
```

[12]
Compound: Na2DyScTe4
Source: Alexandria
Functional: PBE
Structure: optimized geometry

Properties
As for the uncorrected formation energy: -1.245 eV/atom. For the uncorrected energy, the calculation gives -4.51 eV/atom.

Geometry as POSCAR:
```
Na2DyScTe4
1.0
7.512 0.000 0.000
0.000 4.337 0.000
-2.501 0.000 7.547
Na Dy Sc Te
2 1 1 4
direct
0.000 0.000 0.000
0.500 0.500 0.000
0.000 0.500 0.500
0.500 0.000 0.500
0.253 0.000 0.729
0.269 0.500 0.277
0.731 0.500 0.723
0.747 0.000 0.271
```

[13]
Compound: NaDy6Se8
Source: Alexandria
Functional: PBE
Structure: optimized geometry

Properties
As for the energy above the most stable polymorph in this dataset: 97 meV/atom. As for the uncorrected formation energy: -1.681 eV/atom. For the uncorrected energy, the calculation gives -5.47 eV/atom.

Geometry as POSCAR:
```
NaDy6Se8
1.0
4.304 2.485 5.767
-4.304 2.485 5.767
0.000 -4.970 5.767
Na Dy Se
1 6 8
direct
0.000 0.000 0.000
0.084 0.458 0.696
0.304 0.916 0.542
0.458 0.696 0.084
0.542 0.304 0.916
0.696 0.084 0.458
0.916 0.542 0.304
0.095 0.809 0.366
0.191 0.634 0.905
0.325 0.325 0.325
0.366 0.095 0.809
0.634 0.905 0.191
0.675 0.675 0.675
0.809 0.366 0.095
0.905 0.191 0.634
```

[14]
Compound: NaDySe
Source: Alexandria
Functional: PBE
Structure: optimized geometry

Properties
As for the uncorrected formation energy: -0.826 eV/atom. For the uncorrected energy, the calculation gives -3.96 eV/atom.

Geometry as POSCAR:
```
NaDySe
1.0
4.531 -2.062 0.000
4.531 2.062 0.000
-4.380 0.000 11.532
Na Dy Se
2 2 2
direct
0.098 0.098 0.400
0.902 0.902 0.600
0.210 0.210 0.102
0.790 0.790 0.898
0.067 0.067 0.852
0.933 0.933 0.148
```

[15]
Compound: NaDy6Se8
Source: Alexandria
Functional: PBE
Structure: optimized geometry

Properties
As for the energy above the most stable polymorph in this dataset: 0 meV/atom. As for the uncorrected formation energy: -1.778 eV/atom. For the uncorrected energy, the calculation gives -5.57 eV/atom.

Geometry as POSCAR:
```
NaDy6Se8
1.0
0.000 5.748 5.748
5.748 0.000 5.748
5.748 5.748 0.000
Na Dy Se
1 6 8
direct
0.000 0.000 0.000
0.000 0.000 0.500
0.000 0.500 0.000
0.000 0.500 0.500
0.500 0.000 0.000
0.500 0.000 0.500
0.500 0.500 0.000
0.250 0.250 0.250
0.255 0.255 0.745
0.255 0.745 0.255
0.255 0.745 0.745
0.745 0.255 0.255
0.745 0.255 0.745
0.745 0.745 0.255
0.750 0.750 0.750
```

[16]
Compound: Na2DySiSe4
Source: Alexandria
Functional: PBE
Structure: optimized geometry

Properties
As for the uncorrected formation energy: -1.054 eV/atom. For the uncorrected energy, the calculation gives -4.38 eV/atom.

Geometry as POSCAR:
```
Na2DySiSe4
1.0
-3.954 4.168 5.781
3.954 -4.168 5.781
3.954 4.168 -5.781
Na Dy Si Se
4 2 2 8
direct
0.000 0.000 0.000
0.500 0.000 0.000
0.500 0.000 0.500
0.500 0.500 0.500
0.000 0.500 0.500
0.500 0.500 0.000
0.000 0.000 0.500
0.000 0.500 0.000
0.213 0.747 0.466
0.220 0.253 0.966
0.230 0.235 0.505
0.230 0.725 0.995
0.770 0.275 0.005
0.770 0.765 0.495
0.780 0.747 0.034
0.787 0.253 0.534
```

[17]
Compound: NaSmDy4Se8
Source: Alexandria
Functional: PBE
Structure: optimized geometry

Properties
As for the uncorrected formation energy: -1.767 eV/atom. For the uncorrected energy, the calculation gives -5.50 eV/atom.

Geometry as POSCAR:
```
NaSmDy4Se8
1.0
4.232 2.443 6.980
-4.232 2.443 6.980
0.000 -4.886 6.980
Na Sm Dy Se
1 1 4 8
direct
0.000 0.000 0.000
0.631 0.631 0.631
0.112 0.631 0.631
0.252 0.252 0.252
0.631 0.112 0.631
0.631 0.631 0.112
0.381 0.381 0.854
0.381 0.854 0.381
0.385 0.385 0.385
0.405 0.870 0.870
0.854 0.381 0.381
0.866 0.866 0.866
0.870 0.405 0.870
0.870 0.870 0.405
```

[18]
Compound: NaSm2DySe4
Source: Alexandria
Functional: PBE
Structure: optimized geometry

Properties
As for the uncorrected formation energy: -1.748 eV/atom. For the uncorrected energy, the calculation gives -5.41 eV/atom.

Geometry as POSCAR:
```
NaSm2DySe4
1.0
7.202 0.000 0.000
0.000 4.131 0.000
-2.354 0.000 6.809
Na Sm Dy Se
1 2 1 4
direct
0.000 0.000 0.000
0.000 0.500 0.500
0.500 0.000 0.500
0.500 0.500 0.000
0.253 0.500 0.247
0.254 0.000 0.758
0.746 0.000 0.242
0.747 0.500 0.753
```

[19]
Compound: Na2Sm3DySe6
Source: Alexandria
Functional: PBE
Structure: optimized geometry

Properties
As for the uncorrected formation energy: -1.729 eV/atom. For the uncorrected energy, the calculation gives -5.25 eV/atom.

Geometry as POSCAR:
```
Na2Sm3DySe6
1.0
3.608 -6.243 0.000
3.608 6.243 0.000
-2.395 0.000 6.838
Na Sm Dy Se
2 3 1 6
direct
0.166 0.834 0.000
0.834 0.166 0.000
0.000 0.000 0.500
0.330 0.670 0.500
0.670 0.330 0.500
0.500 0.500 0.000
0.090 0.418 0.753
0.257 0.257 0.251
0.418 0.090 0.753
0.582 0.910 0.247
0.743 0.743 0.749
0.910 0.582 0.247
```

[20]
Compound: Na3Sm2DySe6
Source: Alexandria
Functional: PBE
Structure: optimized geometry

Properties
As for the uncorrected formation energy: -1.698 eV/atom. For the uncorrected energy, the calculation gives -4.94 eV/atom.

Geometry as POSCAR:
```
Na3Sm2DySe6
1.0
3.640 -6.304 0.000
3.640 6.304 0.000
-2.427 0.000 7.014
Na Sm Dy Se
3 2 1 6
direct
0.000 0.000 0.000
0.333 0.667 0.000
0.667 0.333 0.000
0.167 0.833 0.500
0.833 0.167 0.500
0.500 0.500 0.500
0.094 0.423 0.268
0.249 0.249 0.732
0.423 0.094 0.268
0.577 0.906 0.732
0.751 0.751 0.268
0.906 0.577 0.732
```

[21]
Compound: NaSmDy2Se4
Source: Alexandria
Functional: PBE
Structure: optimized geometry

Properties
As for the uncorrected formation energy: -1.746 eV/atom. For the uncorrected energy, the calculation gives -5.39 eV/atom.

Geometry as POSCAR:
```
NaSmDy2Se4
1.0
7.169 0.000 0.000
0.000 4.097 0.000
-2.334 0.000 6.797
Na Sm Dy Se
1 1 2 4
direct
0.000 0.000 0.000
0.500 0.500 0.000
0.000 0.500 0.500
0.500 0.000 0.500
0.245 0.000 0.744
0.253 0.500 0.258
0.747 0.500 0.742
0.755 0.000 0.256
```